Ga2SF GGA-PBE relaxed; E above lowest polymorph = 0.0000 eV/atom; energy relative to the elements, uncorrected = -0.72 eV per atom
1.0
6.499 0.000 0.000
0.000 6.499 0.000
3.250 3.250 3.736
F S Ga
2 2 4
direct
0.250 0.750 0.500
0.500 0.500 0.000
0.750 0.250 0.500
0.000 0.000 0.000
0.144 0.625 0.250
0.875 0.856 0.750
0.606 0.125 0.250
0.375 0.394 0.750